Material: PtRh
Method: DFT, PBE
State: relaxed

a b c (Å): 11.3356 11.3356 2.6507
angles (deg): 90.00 90.00 120.00
Last column: nearest neighbours and their distance in Å.
Space group P6_3/m (No. 176)
Inequivalent atoms, fractional coordinates:
Pt (0.1154, 0.6703, 0.2500)  4 Rh 2.48-2.60, 2 Pt 2.65
Rh (0.1128, 0.4479, 0.2500)  4 Pt 2.48-2.60, 2 Rh 2.65

## Properties
uncorrected energy: -6.01 eV per atom
energy relative to the elements: 0.689 eV/atom
total magnetic moment: 0.00 μB/cell